No. 1
The following is a DFT calculation (PBE) of a relaxed V3CuW crystal.

abc: 4.3248 4.3248 4.3248
angles: 90.00 90.00 90.00
Positions (direct):
V: 0.0000 0.0000 0.5000
V: 0.0000 0.5000 0.0000
V: 0.5000 0.0000 0.0000
Cu: 0.0000 0.0000 0.0000
W: 0.5000 0.5000 0.5000

Values from the calculation:
Its space group is Pm-3m, No. 221. The calculation puts the formation energy at 1.381 eV per atom. The density of states at the Fermi level comes out at 6.6 states/eV per cell. The energy above the most stable polymorph in this dataset comes out at 0.00 kcal/mol of atoms.

No. 2
The following is a DFT calculation (PBE) of a relaxed Y2VCu2 crystal.

abc: 7.9022 7.9022 3.3326
angles: 90.00 90.00 90.00
Positions (direct):
Y: 0.1629 0.3371 0.0000
Y: 0.3371 0.8371 0.0000
Y: 0.6629 0.1629 0.0000
Y: 0.8371 0.6629 0.0000
V: 0.0000 0.0000 0.0000
V: 0.5000 0.5000 0.0000
Cu: 0.1295 0.6295 0.5000
Cu: 0.3705 0.1295 0.5000
Cu: 0.6295 0.8705 0.5000
Cu: 0.8705 0.3705 0.5000

Values from the calculation:
Its space group is P4/mbm, No. 127. The calculation puts the formation energy at 0.279 eV per atom. The density of states at the Fermi level comes out at 7.3 states/eV per cell. The energy above the most stable polymorph in this dataset comes out at 5.61 kcal/mol of atoms.

No. 3
The following is a DFT calculation (PBE) of a relaxed Y2VCu2 crystal.

abc: 8.8616 8.8616 8.8616
angles: 157.04 157.04 32.69
Positions (direct):
Y: 0.1057 0.1057 0.0000
Y: 0.8943 0.8943 0.0000
V: 0.5000 0.5000 0.0000
Cu: 0.2500 0.7500 0.5000
Cu: 0.7500 0.2500 0.5000

Values from the calculation:
Its space group is I4/mmm, No. 139. The calculation puts the formation energy at 0.230 eV per atom. The density of states at the Fermi level comes out at 3.2 states/eV per cell. The energy above the most stable polymorph in this dataset comes out at 4.49 kcal/mol of atoms.

No. 4
The following is a DFT calculation (PBE) of a relaxed Y3VCu crystal.

abc: 5.2929 5.2929 5.2929
angles: 90.00 90.00 90.00
Positions (direct):
Y: 0.0000 0.0000 0.5000
Y: 0.0000 0.5000 0.0000
Y: 0.5000 0.0000 0.0000
V: 0.5000 0.5000 0.5000
Cu: 0.0000 0.0000 0.0000

Values from the calculation:
Its space group is Pm-3m, No. 221. The calculation puts the formation energy at 0.530 eV per atom. The density of states at the Fermi level comes out at 8.8 states/eV per cell. The energy above the most stable polymorph in this dataset comes out at 0.00 kcal/mol of atoms.

No. 5
The following is a DFT calculation (PBE) of a relaxed YVCu2 crystal.

abc: 9.1663 9.1663 9.1663
angles: 152.47 152.47 39.33
Positions (direct):
Y: 0.0000 0.0000 0.0000
Y: 0.7500 0.2500 0.5000
V: 0.2500 0.7500 0.5000
V: 0.5000 0.5000 0.0000
Cu: 0.2584 0.6250 0.1334
Cu: 0.3750 0.5084 0.6334
Cu: 0.4916 0.1250 0.8666
Cu: 0.8750 0.7416 0.3666

Values from the calculation:
Its space group is I-42d, No. 122. The calculation puts the formation energy at 0.544 eV per atom. The density of states at the Fermi level comes out at 8.2 states/eV per cell. The energy above the most stable polymorph in this dataset comes out at 9.67 kcal/mol of atoms.

No. 6
The following is a DFT calculation (PBE) of a relaxed Y2VCu2 crystal.

abc: 7.3333 7.3333 3.8787
angles: 90.00 90.00 90.00
Positions (direct):
Y: 0.1821 0.3179 0.0000
Y: 0.3179 0.8179 0.0000
Y: 0.6821 0.1821 0.0000
Y: 0.8179 0.6821 0.0000
V: 0.0000 0.0000 0.5000
V: 0.5000 0.5000 0.5000
Cu: 0.1203 0.6203 0.5000
Cu: 0.3797 0.1203 0.5000
Cu: 0.6203 0.8797 0.5000
Cu: 0.8797 0.3797 0.5000

Values from the calculation:
Its space group is P4/mbm, No. 127. The calculation puts the formation energy at 0.036 eV per atom. The density of states at the Fermi level comes out at 8.3 states/eV per cell. The energy above the most stable polymorph in this dataset comes out at 0.00 kcal/mol of atoms.

No. 7
The following is a DFT calculation (PBE) of a relaxed Y2V2Cu crystal.

abc: 7.5134 7.5134 3.8050
angles: 90.00 90.00 90.00
Positions (direct):
Y: 0.1986 0.3014 0.0000
Y: 0.3014 0.8014 0.0000
Y: 0.6986 0.1986 0.0000
Y: 0.8014 0.6986 0.0000
V: 0.0914 0.5914 0.5000
V: 0.4086 0.0914 0.5000
V: 0.5914 0.9086 0.5000
V: 0.9086 0.4086 0.5000
Cu: 0.0000 0.0000 0.5000
Cu: 0.5000 0.5000 0.5000

Values from the calculation:
Its space group is P4/mbm, No. 127. The calculation puts the formation energy at 0.425 eV per atom. The density of states at the Fermi level comes out at 13.7 states/eV per cell.

No. 8
The following is a DFT calculation (PBE) of a relaxed YVCu2 crystal.

abc: 4.6211 4.6211 4.6211
angles: 60.00 60.00 60.00
Positions (direct):
Y: 0.0000 0.0000 0.0000
V: 0.5000 0.5000 0.5000
Cu: 0.2500 0.2500 0.2500
Cu: 0.7500 0.7500 0.7500

Values from the calculation:
Its space group is Fm-3m, No. 225. The calculation puts the formation energy at 0.124 eV per atom. The density of states at the Fermi level comes out at 4.9 states/eV per cell. The energy above the most stable polymorph in this dataset comes out at 0.00 kcal/mol of atoms.

No. 9
The following is a DFT calculation (PBE) of a relaxed VZn2Cu crystal.

abc: 2.6611 2.6611 7.5412
angles: 90.00 90.00 90.00
Positions (direct):
V: 0.0000 0.0000 0.0000
Zn: 0.5000 0.5000 0.2597
Zn: 0.5000 0.5000 0.7403
Cu: 0.0000 0.0000 0.5000

Values from the calculation:
Its space group is P4/mmm, No. 123. The calculation puts the formation energy at -0.046 eV per atom. The density of states at the Fermi level comes out at 1.8 states/eV per cell. The energy above the most stable polymorph in this dataset comes out at 0.00 kcal/mol of atoms.

No. 10
The following is a DFT calculation (PBE) of a relaxed VZnCu2 crystal.

abc: 4.1778 4.1778 4.1778
angles: 60.00 60.00 60.00
Positions (direct):
V: 0.0000 0.0000 0.0000
Zn: 0.2500 0.2500 0.2500
Cu: 0.5000 0.5000 0.5000
Cu: 0.7500 0.7500 0.7500

Values from the calculation:
Its space group is F-43m, No. 216. The calculation puts the formation energy at 0.137 eV per atom. The density of states at the Fermi level comes out at 3.0 states/eV per cell.

No. 11
The following is a DFT calculation (PBE) of a relaxed VZn6Cu crystal.

abc: 4.1513 5.4237 5.4237
angles: 68.80 90.00 90.00
Positions (direct):
V: 0.0000 0.0000 0.0000
Zn: 0.0000 0.4473 0.4473
Zn: 0.0000 0.5017 0.9507
Zn: 0.0000 0.9507 0.5017
Zn: 0.5000 0.3059 0.7519
Zn: 0.5000 0.7519 0.3059
Zn: 0.5000 0.8090 0.8090
Cu: 0.5000 0.2499 0.2499

Values from the calculation:
Its space group is Amm2, No. 38. The calculation puts the formation energy at 0.017 eV per atom. The density of states at the Fermi level comes out at 3.3 states/eV per cell. The energy above the most stable polymorph in this dataset comes out at 0.31 kcal/mol of atoms.

No. 12
The following is a DFT calculation (PBE) of a relaxed V2ZnCu2 crystal.

abc: 7.4165 7.4165 2.5508
angles: 90.00 90.00 90.00
Positions (direct):
V: 0.1143 0.3857 0.0000
V: 0.3857 0.8857 0.0000
V: 0.6143 0.1143 0.0000
V: 0.8857 0.6143 0.0000
Zn: 0.0000 0.0000 0.0000
Zn: 0.5000 0.5000 0.0000
Cu: 0.1792 0.6792 0.5000
Cu: 0.3208 0.1792 0.5000
Cu: 0.6792 0.8208 0.5000
Cu: 0.8208 0.3208 0.5000

Values from the calculation:
Its space group is P4/mbm, No. 127. The calculation puts the formation energy at 0.357 eV per atom. The density of states at the Fermi level comes out at 10.2 states/eV per cell. The energy above the most stable polymorph in this dataset comes out at 2.03 kcal/mol of atoms.

- What is the formula in the ninth record?
  VZn2Cu